Record 1
KSc2Co2 PBE-GGA optimized geometry; relative energy among the computed polymorphs = 0.011 eV per atom
1.0
-1.715 1.715 10.888
1.715 -1.715 10.888
1.715 1.715 -10.888
K Sc Co
1 2 2
Direct
0.000 0.000 0.000
0.339 0.339 0.000
0.661 0.661 0.000
0.250 0.750 0.500
0.750 0.250 0.500



Record 2
KSc2Co PBE-GGA optimized geometry; relative energy among the computed polymorphs = 0.782 eV per atom
1.0
3.417 -3.430 0.000
3.417 3.430 0.000
0.000 0.000 3.790
K Sc Co
1 2 1
Direct
0.000 0.000 0.000
0.000 0.500 0.500
0.500 0.000 0.500
0.500 0.500 0.000